! FeSe3O, optimized geometry, DFT PBE with a Hubbard U; values from VASP
&SYSTEM
  ibrav = 0, nat = 5, ntyp = 3
/
ATOMIC_SPECIES
Fe 55.84 Fe.upf
Se 78.96 Se.upf
O 16.00 O.upf
ATOMIC_POSITIONS crystal
Fe 0.000 0.000 0.000
Se 0.000 0.000 0.500
Se 0.000 0.500 0.000
Se 0.500 0.000 0.000
O 0.500 0.500 0.500
CELL_PARAMETERS angstrom
4.838 0.000 0.000
0.000 4.838 0.000
0.000 0.000 4.838
! - Space group: Pm-3m
! - D(E_F): 6.408 states/eV per cell
! - Magnetization: 1.7 μB per cell
! - DFT total energy: -3.261 eV/atom
! - Crystal system: cubic